# La5Pm8Tm PBE relaxed
data_La5Pm8Tm
_space_group_name_H-M_alt 'I -4'
_space_group_IT_number 82
_space_group_name_Hall 'I -4'
_cell_length_a 9.857
_cell_length_b 9.857
_cell_length_c 10.246
_cell_angle_alpha 90.00
_cell_angle_beta 90.00
_cell_angle_gamma 90.00
loop_
_atom_site_label
_atom_site_type_symbol
_atom_site_fract_x
_atom_site_fract_y
_atom_site_fract_z
La1 La 0.000 0.000 0.000
La2 La 0.107 0.215 0.420
Pm1 Pm 0.071 0.330 0.093
Pm2 Pm 0.080 0.181 0.755
Tm1 Tm 0.000 0.500 0.750
# - ΔH_f (0 K): 0.227 eV/atom

# TaRh2W PBE relaxed
data_TaRh2W
_space_group_name_H-M_alt 'P 4 m m'
_space_group_IT_number 99
_space_group_name_Hall 'P 4 -2'
_cell_length_a 3.273
_cell_length_b 3.273
_cell_length_c 5.921
_cell_angle_alpha 90.00
_cell_angle_beta 90.00
_cell_angle_gamma 90.00
loop_
_atom_site_label
_atom_site_type_symbol
_atom_site_fract_x
_atom_site_fract_y
_atom_site_fract_z
Ta1 Ta 0.000 0.000 0.000
Rh1 Rh 0.000 0.000 0.499
Rh2 Rh 0.500 0.500 0.782
W1 W 0.500 0.500 0.294
# - ΔH_f (0 K): -0.212 eV/atom
# - Distance to the lowest polymorph of the same formula: 113.0 meV/atom

# Cs2Dy2PbO6 PBE relaxed
data_Cs2Dy2PbO6
_space_group_name_H-M_alt 'C 1 2/m 1'
_space_group_IT_number 12
_space_group_name_Hall '-C 2y'
_cell_length_a 6.038
_cell_length_b 10.460
_cell_length_c 7.318
_cell_angle_alpha 90.00
_cell_angle_beta 105.50
_cell_angle_gamma 90.00
loop_
_atom_site_label
_atom_site_type_symbol
_atom_site_fract_x
_atom_site_fract_y
_atom_site_fract_z
Cs1 Cs 0.000 0.166 0.000
Dy1 Dy 0.000 0.334 0.500
Pb1 Pb 0.000 0.000 0.500
O1 O 0.214 0.166 0.659
O2 O 0.230 0.500 0.658
# - Formation energy (no corrections): -2.206 eV per atom

# Tb6SiC2Cl3 PBE relaxed
data_Tb6SiC2Cl3
_space_group_name_H-M_alt 'C 1 2/m 1'
_space_group_IT_number 12
_space_group_name_Hall '-C 2y'
_cell_length_a 17.682
_cell_length_b 3.787
_cell_length_c 8.180
_cell_angle_alpha 90.00
_cell_angle_beta 107.38
_cell_angle_gamma 90.00
loop_
_atom_site_label
_atom_site_type_symbol
_atom_site_fract_x
_atom_site_fract_y
_atom_site_fract_z
Tb1 Tb 0.025 0.000 0.256
Tb2 Tb 0.166 0.500 0.140
Tb3 Tb 0.182 0.500 0.555
Si1 Si 0.000 0.500 0.000
C1 C 0.171 0.000 0.341
Cl1 Cl 0.000 0.500 0.500
Cl2 Cl 0.168 0.000 0.831
# - Formation energy (no corrections): -1.081 eV per atom

# BaTa2Au PBE relaxed
data_BaTa2Au
_space_group_name_H-M_alt 'C 1 2/m 1'
_space_group_IT_number 12
_space_group_name_Hall '-C 2y'
_cell_length_a 11.898
_cell_length_b 3.046
_cell_length_c 5.611
_cell_angle_alpha 90.00
_cell_angle_beta 104.70
_cell_angle_gamma 90.00
loop_
_atom_site_label
_atom_site_type_symbol
_atom_site_fract_x
_atom_site_fract_y
_atom_site_fract_z
Ba1 Ba 0.000 0.000 0.000
Ta1 Ta 0.213 0.000 0.667
Au1 Au 0.000 0.500 0.500
# - ΔH_f (0 K): 0.550 eV/atom
# - Distance to the lowest polymorph of the same formula: 248.1 meV/atom

# LaY2Sb PBE relaxed
data_LaY2Sb
_space_group_name_H-M_alt 'P 4 m m'
_space_group_IT_number 99
_space_group_name_Hall 'P 4 -2'
_cell_length_a 4.182
_cell_length_b 4.182
_cell_length_c 7.006
_cell_angle_alpha 90.00
_cell_angle_beta 90.00
_cell_angle_gamma 90.00
loop_
_atom_site_label
_atom_site_type_symbol
_atom_site_fract_x
_atom_site_fract_y
_atom_site_fract_z
La1 La 0.000 0.000 0.000
Y1 Y 0.000 0.000 0.456
Y2 Y 0.500 0.500 0.730
Sb1 Sb 0.500 0.500 0.251
# - Formation energy (no corrections): -0.513 eV per atom

# BaLiS2N PBE relaxed
data_BaLiS2N
_space_group_name_H-M_alt 'P 4/m m m'
_space_group_IT_number 123
_space_group_name_Hall '-P 4 2'
_cell_length_a 4.827
_cell_length_b 4.827
_cell_length_c 4.489
_cell_angle_alpha 90.00
_cell_angle_beta 90.00
_cell_angle_gamma 90.00
loop_
_atom_site_label
_atom_site_type_symbol
_atom_site_fract_x
_atom_site_fract_y
_atom_site_fract_z
Ba1 Ba 0.000 0.000 0.000
Li1 Li 0.500 0.500 0.500
S1 S 0.000 0.500 0.500
N1 N 0.500 0.500 0.000
# - Formation energy (no corrections): -0.109 eV per atom
# - Distance to the lowest polymorph of the same formula: 0.0 meV/atom

# TeCSe2Br PBE relaxed
data_TeCSe2Br
_space_group_name_H-M_alt 'P 4/m m m'
_space_group_IT_number 123
_space_group_name_Hall '-P 4 2'
_cell_length_a 5.435
_cell_length_b 5.435
_cell_length_c 5.482
_cell_angle_alpha 90.00
_cell_angle_beta 90.00
_cell_angle_gamma 90.00
loop_
_atom_site_label
_atom_site_type_symbol
_atom_site_fract_x
_atom_site_fract_y
_atom_site_fract_z
Te1 Te 0.000 0.000 0.000
C1 C 0.500 0.500 0.500
Se1 Se 0.000 0.500 0.000
Br1 Br 0.000 0.000 0.500
# - Formation energy (no corrections): 1.756 eV per atom
# - Distance to the lowest polymorph of the same formula: 659.8 meV/atom

# SmSnCl PBE relaxed
data_SmSnCl
_space_group_name_H-M_alt 'C m c m'
_space_group_IT_number 63
_space_group_name_Hall '-C 2c 2'
_cell_length_a 5.377
_cell_length_b 17.671
_cell_length_c 4.713
_cell_angle_alpha 90.00
_cell_angle_beta 90.00
_cell_angle_gamma 90.00
loop_
_atom_site_label
_atom_site_type_symbol
_atom_site_fract_x
_atom_site_fract_y
_atom_site_fract_z
Sm1 Sm 0.000 0.129 0.250
Sn1 Sn 0.000 0.452 0.750
Cl1 Cl 0.000 0.207 0.750
# - Formation energy (no corrections): -0.904 eV per atom

# YTeOs2 PBE relaxed
data_YTeOs2
_space_group_name_H-M_alt 'I -4 m 2'
_space_group_IT_number 119
_space_group_name_Hall 'I -4 -2'
_cell_length_a 4.037
_cell_length_b 4.037
_cell_length_c 9.133
_cell_angle_alpha 90.00
_cell_angle_beta 90.00
_cell_angle_gamma 90.00
loop_
_atom_site_label
_atom_site_type_symbol
_atom_site_fract_x
_atom_site_fract_y
_atom_site_fract_z
Y1 Y 0.000 0.000 0.000
Te1 Te 0.000 0.500 0.250
Os1 Os 0.000 0.000 0.500
Os2 Os 0.000 0.500 0.750
# - Formation energy (no corrections): 0.373 eV per atom

# SrCa4Sn15 PBE relaxed
data_SrCa4Sn15
_space_group_name_H-M_alt 'P 4/m m m'
_space_group_IT_number 123
_space_group_name_Hall '-P 4 2'
_cell_length_a 4.825
_cell_length_b 4.825
_cell_length_c 23.463
_cell_angle_alpha 90.00
_cell_angle_beta 90.00
_cell_angle_gamma 90.00
loop_
_atom_site_label
_atom_site_type_symbol
_atom_site_fract_x
_atom_site_fract_y
_atom_site_fract_z
Sr1 Sr 0.000 0.000 0.000
Ca1 Ca 0.000 0.000 0.203
Ca2 Ca 0.000 0.000 0.401
Sn1 Sn 0.000 0.500 0.104
Sn2 Sn 0.000 0.500 0.302
Sn3 Sn 0.000 0.500 0.500
Sn4 Sn 0.500 0.500 0.000
Sn5 Sn 0.500 0.500 0.203
Sn6 Sn 0.500 0.500 0.401
# - ΔH_f (0 K): -0.378 eV/atom

# Cs3TaAs PBE relaxed
data_Cs3TaAs
_space_group_name_H-M_alt 'P m -3 m'
_space_group_IT_number 221
_space_group_name_Hall '-P 4 2 3'
_cell_length_a 6.963
_cell_length_b 6.963
_cell_length_c 6.963
_cell_angle_alpha 90.00
_cell_angle_beta 90.00
_cell_angle_gamma 90.00
loop_
_atom_site_label
_atom_site_type_symbol
_atom_site_fract_x
_atom_site_fract_y
_atom_site_fract_z
Cs1 Cs 0.000 0.000 0.500
Ta1 Ta 0.500 0.500 0.500
As1 As 0.000 0.000 0.000
# - ΔH_f (0 K): 1.229 eV/atom

Short version: total magnetic moment = 0.000, 0.000, 0.000, 0.000, 0.000, 0.000, 2.976, 0.947, 0.000, 0.000, 0.000, 3.000 Bohr magnetons per cell, in the order given.